[1]
Entry from Alexandria via LeMat-Bulk: a relaxed PrEr4Sc crystal (PBE). Values from VASP.

Summary:
Excess energy over the best structure of this formula in the dataset in eV per atom: 0.634
Calculated volume in Å³ per atom: 36.68

Quantum ESPRESSO input file:
```
&SYSTEM
  ibrav = 0, nat = 6, ntyp = 3
/
ATOMIC_SPECIES
Pr 140.91 Pr.upf
Er 167.26 Er.upf
Sc 44.96 Sc.upf
CELL_PARAMETERS angstrom
4.940 0.000 0.000
0.000 4.940 0.000
0.000 0.000 9.018
ATOMIC_POSITIONS angstrom
Pr 0.000 0.000 0.000
Er 0.000 2.470 2.634
Er 0.000 2.470 6.385
Er 2.470 0.000 2.634
Er 2.470 0.000 6.385
Sc 2.470 2.470 4.509
```



[2]
Entry from Alexandria via LeMat-Bulk: a relaxed BeHgW2 crystal (PBE). Values from VASP.

Summary:
Excess energy over the best structure of this formula in the dataset in eV per atom: 0.111
Calculated volume in Å³ per atom: 15.61

Quantum ESPRESSO input file:
```
&SYSTEM
  ibrav = 0, nat = 4, ntyp = 3
/
ATOMIC_SPECIES
Be 9.01 Be.upf
Hg 200.59 Hg.upf
W 183.84 W.upf
CELL_PARAMETERS angstrom
2.757 0.000 0.000
0.000 2.757 0.000
0.000 0.000 8.214
ATOMIC_POSITIONS angstrom
Be 0.000 0.000 0.000
Hg 1.379 1.379 1.919
W 0.000 0.000 4.298
W 1.379 1.379 6.541
```



[3]
Entry from Alexandria via LeMat-Bulk: a relaxed Zn2CuTc crystal (PBE). Values from VASP.

Summary:
Excess energy over the best structure of this formula in the dataset in eV per atom: 0.174
Calculated volume in Å³ per atom: 13.75

Quantum ESPRESSO input file:
```
&SYSTEM
  ibrav = 0, nat = 16, ntyp = 3
/
ATOMIC_SPECIES
Zn 65.41 Zn.upf
Cu 63.55 Cu.upf
Tc 98.00 Tc.upf
CELL_PARAMETERS angstrom
6.036 0.000 0.000
0.000 6.036 0.000
0.000 0.000 6.036
ATOMIC_POSITIONS angstrom
Zn 1.509 1.509 1.509
Zn 1.509 1.509 4.527
Zn 1.509 4.527 1.509
Zn 1.509 4.527 4.527
Zn 4.527 1.509 1.509
Zn 4.527 1.509 4.527
Zn 4.527 4.527 1.509
Zn 4.527 4.527 4.527
Cu 0.000 0.000 0.000
Cu 0.000 3.018 3.018
Cu 3.018 0.000 3.018
Cu 3.018 3.018 0.000
Tc 0.000 0.000 3.018
Tc 0.000 3.018 0.000
Tc 3.018 0.000 0.000
Tc 3.018 3.018 3.018
```



[4]
Entry from Alexandria via LeMat-Bulk: a relaxed Re2BP crystal (PBE). Values from VASP.

Summary:
Excess energy over the best structure of this formula in the dataset in eV per atom: 0.502
Calculated volume in Å³ per atom: 15.77

Quantum ESPRESSO input file:
```
&SYSTEM
  ibrav = 0, nat = 16, ntyp = 3
/
ATOMIC_SPECIES
Re 186.21 Re.upf
B 10.81 B.upf
P 30.97 P.upf
CELL_PARAMETERS angstrom
5.264 0.000 0.000
0.000 5.264 0.000
0.000 0.000 9.104
ATOMIC_POSITIONS angstrom
Re 1.126 1.316 1.138
Re 1.316 3.758 3.414
Re 1.316 4.138 7.966
Re 1.506 1.316 5.690
Re 3.758 3.948 5.690
Re 3.948 1.126 7.966
Re 3.948 1.506 3.414
Re 4.138 3.948 1.138
B 0.000 0.000 0.000
B 0.000 2.632 2.276
B 2.632 0.000 6.828
B 2.632 2.632 4.552
P 0.000 0.000 4.552
P 0.000 2.632 6.828
P 2.632 0.000 2.276
P 2.632 2.632 0.000
```



[5]
Entry from Alexandria via LeMat-Bulk: a relaxed RbNbAgBr6 crystal (PBE). Values from VASP.

Summary:
Calculated volume in Å³ per atom: 37.91
ΔE_f (raw) in kcal/mol of atoms: -21.285

Quantum ESPRESSO input file:
```
&SYSTEM
  ibrav = 0, nat = 18, ntyp = 4
/
ATOMIC_SPECIES
Rb 85.47 Rb.upf
Nb 92.91 Nb.upf
Ag 107.87 Ag.upf
Br 79.90 Br.upf
CELL_PARAMETERS angstrom
7.303 0.000 0.000
-3.651 6.324 0.000
0.000 0.000 14.777
ATOMIC_POSITIONS angstrom
Rb 0.000 0.000 0.000
Rb 0.000 0.000 7.388
Nb 0.000 4.216 3.694
Nb 3.651 2.108 11.083
Ag 0.000 4.216 11.083
Ag 3.651 2.108 3.694
Br -1.194 2.463 2.189
Br -2.116 4.059 5.200
Br 1.194 2.463 5.200
Br -0.921 6.127 2.189
Br 2.730 0.197 9.577
Br 1.535 2.266 12.588
Br 2.116 4.059 2.189
Br 0.921 6.127 5.200
Br 4.573 0.197 12.588
Br 2.457 3.862 9.577
Br 5.767 2.266 9.577
Br 4.846 3.862 12.588
```



[6]
Entry from Alexandria via LeMat-Bulk: a relaxed LaPm12Sm2 crystal (PBE). Values from VASP.

Summary:
Calculated volume in Å³ per atom: 34.89

Quantum ESPRESSO input file:
```
&SYSTEM
  ibrav = 0, nat = 30, ntyp = 3
/
ATOMIC_SPECIES
La 138.91 La.upf
Pm 145.00 Pm.upf
Sm 150.36 Sm.upf
CELL_PARAMETERS angstrom
3.627 -5.781 0.000
3.627 5.781 0.000
-1.841 0.000 24.958
ATOMIC_POSITIONS angstrom
La 1.804 0.000 0.015
La 3.609 0.000 24.943
Pm 1.812 2.902 5.020
Pm 1.812 2.881 8.212
Pm 1.785 2.951 13.873
Pm 0.013 0.000 14.303
Pm -0.035 0.000 21.525
Pm 1.793 2.882 23.135
Pm 3.621 2.882 1.823
Pm 1.811 0.000 3.460
Pm 3.629 2.951 11.085
Pm 1.856 0.000 10.599
Pm 3.602 2.881 16.746
Pm 3.601 2.902 19.938
Pm 1.812 -2.902 5.020
Pm 1.812 -2.881 8.212
Pm 3.557 0.000 14.359
Pm 1.785 -2.951 13.873
Pm 3.603 0.000 21.497
Pm 1.793 -2.882 23.135
Pm 3.621 -2.882 1.823
Pm 5.448 0.000 3.432
Pm 5.401 0.000 10.655
Pm 3.629 -2.951 11.085
Pm 3.602 -2.881 16.746
Pm 3.601 -2.902 19.938
Sm -0.002 0.000 6.837
Sm 1.782 0.000 18.153
Sm 3.632 0.000 6.805
Sm 5.415 0.000 18.121
```



Number 1: electronic total energy -0.155 Ha/atom, total magnetic moment 0.00 μB/f.u.. Number 2: electronic total energy -0.255 Ha/atom, total magnetic moment 0.00 μB/f.u.. Number 3: electronic total energy -0.150 Ha/atom, total magnetic moment 0.94 μB/f.u.. Number 4: electronic total energy -0.316 Ha/atom, total magnetic moment 0.00 μB/f.u.. Number 5: electronic total energy -0.132 Ha/atom, total magnetic moment 1.00 μB/f.u.. Number 6: electronic total energy -0.171 Ha/atom, total magnetic moment 0.00 μB/f.u..